First-principles (PBE with a Hubbard U) data for a relaxed structure of RbCrP2O6, as listed in Alexandria.

Cell: 5.3114 5.3114 19.8149 Å, 90.00 90.00 120.00°
Space group R-3 (No. 148, hexagonal axes)
Inequivalent atoms, fractional coordinates:
Rb  0.0000  0.0000  0.0000 x3
Cr  0.0000  0.0000  0.5000 x3
P  0.0000  0.0000  0.2426 x6
O  0.0179  0.5854  0.8939 x18

- DFT total energy (eV/cell) = -202.325